A relaxed Pr2CrHgO6 crystal, computed with GGA+U.

## Properties
Uncorrected energy in eV/atom: -6.738
V in A^3/atom: 15.5
Magnetization in μB/cell: 2.00

a b c (Å): 5.464 5.464 5.191
angles (deg): 90.00 90.00 90.00
Element x y z (fractional)
Pr1 0.000 0.500 0.000
Pr2 0.500 0.000 0.000
Cr1 0.000 0.000 0.607
Hg1 0.500 0.500 0.524
O1 0.000 0.000 0.256
O2 0.231 0.231 0.738
O3 0.231 0.769 0.738
O4 0.500 0.500 0.115
O5 0.769 0.231 0.738
O6 0.769 0.769 0.738